KBe3V | PBE | relaxed

Geometry as POSCAR:
```
KBe3V
1.0
4.7203 0.0000 0.0000
0.0000 4.7203 0.0000
0.0000 0.0000 4.7203
K Be V
1 3 1
Cartesian
0.0000 0.0000 0.0000
0.0000 2.3601 2.3601
2.3601 0.0000 2.3601
2.3601 2.3601 0.0000
2.3601 2.3601 2.3601
```

Computed properties:
ΔE to the lowest computed polymorph = 0 meV per atom
ΔH_f (0 K) = 1.271 eV/atom
Magnetic moment = 4.07 μB per formula unit
SG = Pm-3m (221)


La2GaPt6 | PBE | relaxed

Geometry as POSCAR:
```
La2GaPt6
1.0
4.9500 -2.8681 0.0000
4.9500 2.8681 0.0000
-1.5134 0.0000 6.1808
La Ga Pt
2 1 6
Cartesian
0.8853 0.0000 2.1308
7.5014 0.0000 4.0501
4.1933 0.0000 3.0904
3.3243 1.4786 1.1565
5.0624 1.4786 5.0243
2.5447 0.0000 5.0185
5.8420 0.0000 1.1624
3.3243 -1.4786 1.1565
5.0624 -1.4786 5.0243
```

Computed properties:
ΔH_f (0 K) = -0.976 eV/atom
Magnetic moment = 0.00 μB per formula unit
SG = C2/m (12)